Entry 1:
## LaHoMgMn (PBE)

Data for a relaxed LaHoMgMn crystal.

Results
* crystal system: cubic
* formation enthalpy at 0 K: 0.114 eV/atom

Geometry as CIF:
```
data_LaHoMgMn
_chemical_formula_sum 'La4 Ho4 Mg4 Mn4'
_cell_length_a 7.492
_cell_length_b 7.492
_cell_length_c 7.492
_cell_angle_alpha 90.00
_cell_angle_beta 90.00
_cell_angle_gamma 90.00
_space_group_name_H-M_alt 'F -4 3 m'
_space_group_IT_number 216
_space_group_name_Hall 'F -4 2 3'
loop_
_atom_site_label
_atom_site_type_symbol
_atom_site_fract_x
_atom_site_fract_y
_atom_site_fract_z
La1 La 0.000 0.000 0.000
Ho1 Ho 0.000 0.000 0.500
Mg1 Mg 0.250 0.250 0.250
Mn1 Mn 0.250 0.250 0.750
```

=====

Entry 2:
## La2Nd6Ho3Mg (PBE)

Data for a relaxed La2Nd6Ho3Mg crystal.

Results
* crystal system: monoclinic
* formation enthalpy at 0 K: 0.009 eV/atom

Geometry as CIF:
```
data_La2Nd6Ho3Mg
_chemical_formula_sum 'La4 Nd12 Ho6 Mg2'
_cell_length_a 6.266
_cell_length_b 10.865
_cell_length_c 11.967
_cell_angle_alpha 90.00
_cell_angle_beta 100.18
_cell_angle_gamma 90.00
_space_group_name_H-M_alt 'C 1 2/m 1'
_space_group_IT_number 12
loop_
_space_group_symop_operation_xyz
'x,y,z'
'-x,-y,-z'
'-x,y,-z'
'x,-y,z'
'x+1/2,y+1/2,z'
'-x+1/2,-y+1/2,-z'
'-x+1/2,y+1/2,-z'
'x+1/2,-y+1/2,z'
loop_
_atom_site_label
_atom_site_type_symbol
_atom_site_fract_x
_atom_site_fract_y
_atom_site_fract_z
La1 La 0.000 0.167 0.000
Nd1 Nd 0.246 0.500 0.745
Nd2 Nd 0.248 0.335 0.254
Ho1 Ho 0.000 0.000 0.500
Ho2 Ho 0.000 0.334 0.500
Mg1 Mg 0.000 0.500 0.000
```

=====

Entry 3:
## LaNdHoMg (PBE)

Data for a relaxed LaNdHoMg crystal.

Results
* crystal system: cubic
* formation enthalpy at 0 K: 0.010 eV/atom
* E above lowest polymorph: 38.8 meV/atom

Geometry as CIF:
```
data_LaNdHoMg
_chemical_formula_sum 'La4 Nd4 Ho4 Mg4'
_cell_length_a 7.984
_cell_length_b 7.984
_cell_length_c 7.984
_cell_angle_alpha 90.00
_cell_angle_beta 90.00
_cell_angle_gamma 90.00
_space_group_name_H-M_alt 'F -4 3 m'
_space_group_IT_number 216
_space_group_name_Hall 'F -4 2 3'
loop_
_atom_site_label
_atom_site_type_symbol
_atom_site_fract_x
_atom_site_fract_y
_atom_site_fract_z
La1 La 0.000 0.000 0.000
Nd1 Nd 0.000 0.000 0.500
Ho1 Ho 0.250 0.250 0.250
Mg1 Mg 0.250 0.250 0.750
```

=====

Entry 4:
## La2Nd6HoMg (PBE)

Data for a relaxed La2Nd6HoMg crystal.

Results
* crystal system: monoclinic
* formation enthalpy at 0 K: 0.109 eV/atom

Geometry as CIF:
```
data_La2Nd6HoMg
_chemical_formula_sum 'La8 Nd24 Ho4 Mg4'
_cell_length_a 10.564
_cell_length_b 13.836
_cell_length_c 9.572
_cell_angle_alpha 90.00
_cell_angle_beta 99.92
_cell_angle_gamma 90.00
_space_group_name_H-M_alt 'C 1 2/c 1'
_space_group_IT_number 15
loop_
_space_group_symop_operation_xyz
'x,y,z'
'-x,-y,-z'
'-x,y,-z+1/2'
'x,-y,z+1/2'
'x+1/2,y+1/2,z'
'-x+1/2,-y+1/2,-z'
'-x+1/2,y+1/2,-z+1/2'
'x+1/2,-y+1/2,z+1/2'
loop_
_atom_site_label
_atom_site_type_symbol
_atom_site_fract_x
_atom_site_fract_y
_atom_site_fract_z
La1 La 0.234 0.031 0.089
Nd1 Nd 0.049 0.380 0.595
Nd2 Nd 0.091 0.170 0.425
Nd3 Nd 0.249 0.217 0.825
Ho1 Ho 0.000 0.067 0.750
Mg1 Mg 0.000 0.400 0.250
```

=====

Entry 5:
## LaNd4Ho2Mg (PBE)

Data for a relaxed LaNd4Ho2Mg crystal.

Results
* crystal system: tetragonal
* formation enthalpy at 0 K: 0.068 eV/atom

Geometry as CIF:
```
data_LaNd4Ho2Mg
_chemical_formula_sum 'La1 Nd4 Ho2 Mg1'
_cell_length_a 5.903
_cell_length_b 5.903
_cell_length_c 7.575
_cell_angle_alpha 90.00
_cell_angle_beta 90.00
_cell_angle_gamma 90.00
_space_group_name_H-M_alt 'P 4/m m m'
_space_group_IT_number 123
_space_group_name_Hall '-P 4 2'
loop_
_atom_site_label
_atom_site_type_symbol
_atom_site_fract_x
_atom_site_fract_y
_atom_site_fract_z
La1 La 0.000 0.000 0.000
Nd1 Nd 0.000 0.500 0.247
Ho1 Ho 0.000 0.000 0.500
Ho2 Ho 0.500 0.500 0.500
Mg1 Mg 0.500 0.500 0.000
```

=====

Entry 6:
## LaNdHoMg (PBE)

Data for a relaxed LaNdHoMg crystal.

Results
* crystal system: tetragonal
* formation enthalpy at 0 K: -0.028 eV/atom
* E above lowest polymorph: 0.0 meV/atom

Geometry as CIF:
```
data_LaNdHoMg
_chemical_formula_sum 'La1 Nd1 Ho1 Mg1'
_cell_length_a 3.759
_cell_length_b 3.759
_cell_length_c 8.970
_cell_angle_alpha 90.00
_cell_angle_beta 90.00
_cell_angle_gamma 90.00
_space_group_name_H-M_alt 'P 4 m m'
_space_group_IT_number 99
loop_
_space_group_symop_operation_xyz
'x,y,z'
'-y,x,z'
'-x,-y,z'
'y,-x,z'
'-x,y,z'
'y,x,z'
'x,-y,z'
'-y,-x,z'
loop_
_atom_site_label
_atom_site_type_symbol
_atom_site_fract_x
_atom_site_fract_y
_atom_site_fract_z
La1 La 0.000 0.000 0.000
Nd1 Nd 0.500 0.500 0.714
Ho1 Ho 0.500 0.500 0.273
Mg1 Mg 0.000 0.000 0.483
```

=====

Entry 7:
## La2NdHo2Mg5 (PBE)

Data for a relaxed La2NdHo2Mg5 crystal.

Results
* crystal system: tetragonal
* formation enthalpy at 0 K: 0.002 eV/atom

Geometry as CIF:
```
data_La2NdHo2Mg5
_chemical_formula_sum 'La4 Nd2 Ho4 Mg10'
_cell_length_a 10.704
_cell_length_b 10.704
_cell_length_c 5.156
_cell_angle_alpha 90.00
_cell_angle_beta 90.00
_cell_angle_gamma 90.00
_space_group_name_H-M_alt 'P 4/m b m'
_space_group_IT_number 127
_space_group_name_Hall '-P 4 2ab'
loop_
_atom_site_label
_atom_site_type_symbol
_atom_site_fract_x
_atom_site_fract_y
_atom_site_fract_z
La1 La 0.176 0.324 0.000
Nd1 Nd 0.000 0.000 0.000
Ho1 Ho 0.120 0.620 0.000
Mg1 Mg 0.000 0.500 0.500
Mg2 Mg 0.074 0.800 0.500
```

=====

Entry 8:
## La6Nd2Ho3Mg (PBE)

Data for a relaxed La6Nd2Ho3Mg crystal.

Results
* crystal system: monoclinic
* formation enthalpy at 0 K: 0.010 eV/atom

Geometry as CIF:
```
data_La6Nd2Ho3Mg
_chemical_formula_sum 'La12 Nd4 Ho6 Mg2'
_cell_length_a 6.316
_cell_length_b 10.948
_cell_length_c 11.965
_cell_angle_alpha 90.00
_cell_angle_beta 100.17
_cell_angle_gamma 90.00
_space_group_name_H-M_alt 'C 1 2/m 1'
_space_group_IT_number 12
loop_
_space_group_symop_operation_xyz
'x,y,z'
'-x,-y,-z'
'-x,y,-z'
'x,-y,z'
'x+1/2,y+1/2,z'
'-x+1/2,-y+1/2,-z'
'-x+1/2,y+1/2,-z'
'x+1/2,-y+1/2,z'
loop_
_atom_site_label
_atom_site_type_symbol
_atom_site_fract_x
_atom_site_fract_y
_atom_site_fract_z
La1 La 0.247 0.000 0.247
La2 La 0.249 0.165 0.752
Nd1 Nd 0.000 0.333 0.500
Ho1 Ho 0.000 0.166 0.000
Ho2 Ho 0.000 0.500 0.000
Mg1 Mg 0.000 0.000 0.500
```

=====

Entry 9:
## La6NdHo2Mg (PBE)

Data for a relaxed La6NdHo2Mg crystal.

Results
* crystal system: monoclinic
* formation enthalpy at 0 K: 0.089 eV/atom

Geometry as CIF:
```
data_La6NdHo2Mg
_chemical_formula_sum 'La24 Nd4 Ho8 Mg4'
_cell_length_a 10.642
_cell_length_b 13.847
_cell_length_c 9.497
_cell_angle_alpha 90.00
_cell_angle_beta 99.52
_cell_angle_gamma 90.00
_space_group_name_H-M_alt 'C 1 2/c 1'
_space_group_IT_number 15
loop_
_space_group_symop_operation_xyz
'x,y,z'
'-x,-y,-z'
'-x,y,-z+1/2'
'x,-y,z+1/2'
'x+1/2,y+1/2,z'
'-x+1/2,-y+1/2,-z'
'-x+1/2,y+1/2,-z+1/2'
'x+1/2,-y+1/2,z+1/2'
loop_
_atom_site_label
_atom_site_type_symbol
_atom_site_fract_x
_atom_site_fract_y
_atom_site_fract_z
La1 La 0.059 0.119 0.099
La2 La 0.089 0.331 0.919
La3 La 0.245 0.290 0.329
Nd1 Nd 0.000 0.431 0.250
Ho1 Ho 0.232 0.467 0.596
Mg1 Mg 0.000 0.097 0.750
```

=====

Entry 10:
## La2HoMgO (PBE)

Data for a relaxed La2HoMgO crystal.

Results
* total energy: -5.402 eV/atom
* crystal system: tetragonal

Geometry as CIF:
```
data_La2HoMgO
_chemical_formula_sum 'La2 Ho1 Mg1 O1'
_cell_length_a 5.210
_cell_length_b 5.210
_cell_length_c 4.670
_cell_angle_alpha 90.00
_cell_angle_beta 90.00
_cell_angle_gamma 90.00
_space_group_name_H-M_alt 'P 4/m m m'
_space_group_IT_number 123
_space_group_name_Hall '-P 4 2'
loop_
_atom_site_label
_atom_site_type_symbol
_atom_site_fract_x
_atom_site_fract_y
_atom_site_fract_z
La1 La 0.000 0.500 0.000
Ho1 Ho 0.000 0.000 0.500
Mg1 Mg 0.500 0.500 0.500
O1 O 0.000 0.000 0.000
```

=====

Entry 11:
## LaHoMgOs (PBE)

Data for a relaxed LaHoMgOs crystal.

Results
* crystal system: cubic
* formation enthalpy at 0 K: -0.044 eV/atom

Geometry as CIF:
```
data_LaHoMgOs
_chemical_formula_sum 'La4 Ho4 Mg4 Os4'
_cell_length_a 7.226
_cell_length_b 7.226
_cell_length_c 7.226
_cell_angle_alpha 90.00
_cell_angle_beta 90.00
_cell_angle_gamma 90.00
_space_group_name_H-M_alt 'F -4 3 m'
_space_group_IT_number 216
_space_group_name_Hall 'F -4 2 3'
loop_
_atom_site_label
_atom_site_type_symbol
_atom_site_fract_x
_atom_site_fract_y
_atom_site_fract_z
La1 La 0.000 0.000 0.000
Ho1 Ho 0.000 0.000 0.500
Mg1 Mg 0.250 0.250 0.750
Os1 Os 0.250 0.250 0.250
```

=====

Entry 12:
## LaHoMgPd (PBE)

Data for a relaxed LaHoMgPd crystal.

Results
* crystal system: cubic
* formation enthalpy at 0 K: -0.354 eV/atom

Geometry as CIF:
```
data_LaHoMgPd
_chemical_formula_sum 'La4 Ho4 Mg4 Pd4'
_cell_length_a 7.435
_cell_length_b 7.435
_cell_length_c 7.435
_cell_angle_alpha 90.00
_cell_angle_beta 90.00
_cell_angle_gamma 90.00
_space_group_name_H-M_alt 'F -4 3 m'
_space_group_IT_number 216
_space_group_name_Hall 'F -4 2 3'
loop_
_atom_site_label
_atom_site_type_symbol
_atom_site_fract_x
_atom_site_fract_y
_atom_site_fract_z
La1 La 0.000 0.000 0.000
Ho1 Ho 0.000 0.000 0.500
Mg1 Mg 0.250 0.250 0.750
Pd1 Pd 0.250 0.250 0.250
```

=====

For reference, volume by record: 420 802 509 1378 264 127 591 814 1380 127 377 411 Å³/cell.
For reference, total moment by record: 12.25 0.00 0.00 0.00 0.00 0.00 0.00 0.00 0.00 0.00 0.01 0.00 μB per cell.